Record 1
Compound: Na2Mg
Source: Alexandria
Functional: PBE
Structure: relaxed

Lattice parameters (Å, degrees): 7.1464 4.7071 11.0337 90.00 90.00 90.00
Closest atoms and distances in Å follow each position.
Sites, in units of the cell vectors:
Na: 0.1221 0.2500 0.0846  7 Na 3.43-3.68, 5 Mg 3.46-3.81
Na: 0.1404 0.2500 0.7512  7 Na 3.43-3.68, 5 Mg 3.55-3.57
Na: 0.3596 0.7500 0.2512  7 Na 3.43-3.68, 5 Mg 3.55-3.57
Na: 0.3779 0.7500 0.5846  7 Na 3.43-3.68, 5 Mg 3.46-3.81
Na: 0.6221 0.2500 0.4154  7 Na 3.43-3.68, 5 Mg 3.46-3.81
Na: 0.6404 0.2500 0.7488  7 Na 3.43-3.68, 5 Mg 3.55-3.57
Na: 0.8596 0.7500 0.2488  7 Na 3.43-3.68, 5 Mg 3.55-3.57
Na: 0.8779 0.7500 0.9154  7 Na 3.43-3.68, 5 Mg 3.46-3.81
Mg: 0.1052 0.2500 0.4301  2 Mg 3.19, 8 Na 3.46-3.57
Mg: 0.3948 0.7500 0.9301  2 Mg 3.19, 8 Na 3.46-3.57
Mg: 0.6052 0.2500 0.0699  2 Mg 3.19, 8 Na 3.46-3.57
Mg: 0.8948 0.7500 0.5699  2 Mg 3.19, 8 Na 3.46-3.57

Summary:
The symmetry is Pnma (62). The value obtained for the formation energy from the elements is 0.087 eV/atom. For the total energy, the calculation gives -1.324 eV per atom. Its density of states at the Fermi level is 4.35 states/eV per cell.

=====

Record 2
Compound: BeTc2Cl
Source: Alexandria
Functional: PBE
Structure: relaxed

Lattice parameters (Å, degrees): 3.7525 3.1661 6.0636 90.00 90.39 90.00
Closest atoms and distances in Å follow each position.
Sites, in units of the cell vectors:
Be: 0.0000 0.0000 0.0000  4 Tc 2.21
Tc: 0.3363 0.5000 0.1469  1 Tc 2.17, 2 Be 2.21
Tc: 0.6637 0.5000 0.8531  1 Tc 2.17, 2 Be 2.21
Cl: 0.5000 0.0000 0.5000  4 Tc 2.73

Summary:
The offset from the most stable computed form comes out at 358 meV per atom. The value obtained for the uncorrected formation energy is 0.45 eV/atom. The symmetry is P2/m (10). For the total energy, the calculation gives -6.124 eV per atom. Its density of states at the Fermi level is 2.80 states/eV per cell.

=====

Record 3
Compound: KCaTbO3
Source: Alexandria
Functional: PBE
Structure: relaxed

Lattice parameters (Å, degrees): 7.3595 3.4824 10.0112 90.00 91.37 90.00
Closest atoms and distances in Å follow each position.
Sites, in units of the cell vectors:
K: 0.1276 0.2500 0.2124  4 O 2.77-2.88
K: 0.8724 0.7500 0.7876  4 O 2.77-2.88
Ca: 0.1645 0.2500 0.5616  4 O 2.20-2.32
Ca: 0.8355 0.7500 0.4384  4 O 2.20-2.32
Tb: 0.3990 0.7500 0.8732  5 O 2.16-2.38
Tb: 0.6010 0.2500 0.1268  5 O 2.16-2.38
O: 0.1449 0.7500 0.4278  3 Ca 2.20-2.28
O: 0.2430 0.2500 0.7874  2 Tb 2.24, 1 Ca 2.32
O: 0.3863 0.7500 0.0884  3 Tb 2.16-2.38
O: 0.6137 0.2500 0.9116  3 Tb 2.16-2.38
O: 0.7570 0.7500 0.2126  2 Tb 2.24, 1 Ca 2.32
O: 0.8551 0.2500 0.5722  3 Ca 2.20-2.28

Summary:
The value obtained for the uncorrected formation energy is -2.58 eV/atom. The symmetry is P2_1/m (11). For the total energy, the calculation gives -6.346 eV per atom. Its density of states at the Fermi level is 0.00 states/eV per cell.

=====

Record 4
Compound: Ce2ZrHg
Source: Alexandria
Functional: PBE
Structure: relaxed

Lattice parameters (Å, degrees): 7.4872 7.4872 7.4872 90.00 90.00 90.00
Closest atoms and distances in Å follow each position.
Sites, in units of the cell vectors:
Ce: 0.2500 0.2500 0.2500  4 Zr 3.24, 4 Hg 3.24
Ce: 0.2500 0.2500 0.7500  4 Hg 3.24, 4 Zr 3.24
Ce: 0.2500 0.7500 0.2500  4 Hg 3.24, 4 Zr 3.24
Ce: 0.2500 0.7500 0.7500  4 Zr 3.24, 4 Hg 3.24
Ce: 0.7500 0.2500 0.2500  4 Hg 3.24, 4 Zr 3.24
Ce: 0.7500 0.2500 0.7500  4 Zr 3.24, 4 Hg 3.24
Ce: 0.7500 0.7500 0.2500  4 Zr 3.24, 4 Hg 3.24
Ce: 0.7500 0.7500 0.7500  4 Hg 3.24, 4 Zr 3.24
Zr: 0.0000 0.0000 0.0000  8 Ce 3.24
Zr: 0.0000 0.5000 0.5000  8 Ce 3.24
Zr: 0.5000 0.0000 0.5000  8 Ce 3.24
Zr: 0.5000 0.5000 0.0000  8 Ce 3.24
Hg: 0.0000 0.0000 0.5000  8 Ce 3.24
Hg: 0.0000 0.5000 0.0000  8 Ce 3.24
Hg: 0.5000 0.0000 0.0000  8 Ce 3.24
Hg: 0.5000 0.5000 0.5000  8 Ce 3.24

Summary:
The offset from the most stable computed form comes out at 144 meV per atom. The symmetry is Fm-3m (225). The value obtained for the formation energy from the elements is 0.064 eV/atom. For the total energy, the calculation gives -5.116 eV per atom. Its density of states at the Fermi level is 44.04 states/eV per cell.

=====

Record 5
Compound: Nd6Hg2Ir
Source: Alexandria
Functional: PBE
Structure: relaxed

Lattice parameters (Å, degrees): 7.1724 7.5785 12.6718 90.00 122.42 90.00
Closest atoms and distances in Å follow each position.
Sites, in units of the cell vectors:
Nd: 0.1322 0.0129 0.2536  1 Ir 2.82, 1 Hg 3.15
Nd: 0.1322 0.4871 0.7536  1 Ir 2.82, 1 Hg 3.15
Nd: 0.2443 0.6863 0.0550  1 Ir 2.81
Nd: 0.2443 0.8137 0.5550  1 Ir 2.81
Nd: 0.3680 0.1976 0.0524  1 Ir 2.79
Nd: 0.3680 0.3024 0.5524  1 Ir 2.79
Nd: 0.6320 0.6976 0.4476  1 Ir 2.79
Nd: 0.6320 0.8024 0.9476  1 Ir 2.79
Nd: 0.7557 0.1863 0.4450  1 Ir 2.81
Nd: 0.7557 0.3137 0.9450  1 Ir 2.81
Nd: 0.8678 0.5129 0.2464  1 Ir 2.82, 1 Hg 3.15
Nd: 0.8678 0.9871 0.7464  1 Ir 2.82, 1 Hg 3.15
Hg: 0.3040 0.0933 0.7593  6 Nd 3.15-3.30
Hg: 0.3040 0.4067 0.2593  6 Nd 3.15-3.30
Hg: 0.6960 0.5933 0.7407  6 Nd 3.15-3.30
Hg: 0.6960 0.9067 0.2407  6 Nd 3.15-3.30
Ir: 0.0000 0.0000 0.0000  6 Nd 2.79-2.82
Ir: 0.0000 0.5000 0.5000  6 Nd 2.79-2.82

Summary:
The offset from the most stable computed form comes out at 0 meV per atom. The symmetry is P2_1/c (14). The value obtained for the formation energy from the elements is -0.331 eV/atom. For the total energy, the calculation gives -4.562 eV per atom. Its density of states at the Fermi level is 17.73 states/eV per cell.

=====

Record 6
Compound: Tb2Nd5Y12
Source: Alexandria
Functional: PBE
Structure: relaxed

Lattice parameters (Å, degrees): 10.0537 10.0537 8.7310 112.99 112.99 54.61
Closest atoms and distances in Å follow each position.
Sites, in units of the cell vectors:
Tb: 0.1714 0.8286 0.0000  1 Tb 3.16, 6 Y 3.31-3.49
Tb: 0.8286 0.1714 0.0000  1 Tb 3.16, 6 Y 3.31-3.49
Nd: 0.2139 0.2139 0.2268  9 Y 3.64-4.03, 2 Tb 3.79, 1 Nd 3.86
Nd: 0.2631 0.2631 0.7037  5 Y 3.11-3.47
Nd: 0.5000 0.5000 0.5000  6 Y 3.22-3.55
Nd: 0.7369 0.7369 0.2963  5 Y 3.11-3.47
Nd: 0.7861 0.7861 0.7732  9 Y 3.64-4.03, 2 Tb 3.79, 1 Nd 3.86
Y: 0.0640 0.0640 0.7215  7 Y 3.36-3.68, 2 Tb 3.49, 1 Nd 3.63
Y: 0.0959 0.6511 0.5446  2 Nd 3.20-3.55, 1 Y 3.36
Y: 0.1708 0.5380 0.0892  1 Tb 3.31, 4 Y 3.36-3.57, 2 Nd 3.47-3.64
Y: 0.3489 0.9041 0.4554  2 Nd 3.20-3.55, 1 Y 3.36
Y: 0.4543 0.4543 0.8176  1 Y 2.87, 1 Nd 3.11
Y: 0.4620 0.8292 0.9108  1 Tb 3.31, 4 Y 3.36-3.57, 2 Nd 3.47-3.64
Y: 0.5380 0.1708 0.0892  1 Tb 3.31, 4 Y 3.36-3.57, 2 Nd 3.47-3.64
Y: 0.5457 0.5457 0.1824  1 Y 2.87, 1 Nd 3.11
Y: 0.6511 0.0959 0.5446  2 Nd 3.20-3.55, 1 Y 3.36
Y: 0.8292 0.4620 0.9108  1 Tb 3.31, 4 Y 3.36-3.57, 2 Nd 3.47-3.64
Y: 0.9041 0.3489 0.4554  2 Nd 3.20-3.55, 1 Y 3.36
Y: 0.9360 0.9360 0.2785  7 Y 3.36-3.68, 2 Tb 3.49, 1 Nd 3.63

Summary:
The offset from the most stable computed form comes out at 102 meV per atom. The symmetry is C2/m (12). The value obtained for the formation energy from the elements is 0.212 eV/atom. For the total energy, the calculation gives -5.613 eV per atom. Its density of states at the Fermi level is 29.36 states/eV per cell.